P.
Density functional theory data (PBE) for a relaxed structure of RbCaAl3.

a b c (Å): 5.864 5.864 5.864
angles (deg): 90.00 90.00 90.00
Space group Pm-3m (No. 221)
Unique sites:
Rb  0.000  0.000  0.000 (multiplicity 1)
Ca  0.500  0.500  0.500 (multiplicity 1)
Al  0.000  0.500  0.500 (multiplicity 3)

Computed properties:
Fermi-level density of states ... 1.51 states/eV/atom

Q.
Density functional theory data (PBE) for a relaxed structure of RbCaAl3.

a b c (Å): 5.737 5.737 5.737
angles (deg): 90.00 90.00 90.00
Space group Pm-3m (No. 221)
Unique sites:
Rb  0.000  0.000  0.000 (multiplicity 1)
Ca  0.500  0.500  0.500 (multiplicity 1)
Al  0.000  0.000  0.500 (multiplicity 3)

Computed properties:
Fermi-level density of states ... 1.13 states/eV/atom

In terms of stability, P leads; the second structure lies 473 meV/atom higher.